(1)
DFT (PBE-GGA) results for crystalline CaTlPd3 at its relaxed geometry.

It has space group Imma (No. 74), with a = 5.624 Å, b = 7.693 Å, c = 9.475 Å, α = 90.00°, β = 90.00° and γ = 90.00°. The asymmetric unit holds Ca at (0.000, 0.250, 0.005), Tl at (0.000, 0.000, 0.500), Pd at (0.000, 0.250, 0.707) and Pd at (0.250, 0.063, 0.250).

The calculation puts the energy above the most stable polymorph in this dataset at 0.000 eV per formula unit. The formation energy is -39.6 kJ/mol of atoms.



(2)
DFT (PBE-GGA) results for crystalline VGe2Ir at its relaxed geometry.

It has space group P4/mmm (No. 123), with a = 4.387 Å, b = 4.387 Å, c = 3.008 Å, α = 90.00°, β = 90.00° and γ = 90.00°. The asymmetric unit holds V at (0.000, 0.000, 0.000), Ge at (0.000, 0.500, 0.500) and Ir at (0.500, 0.500, 0.000).

The formation energy is -13.3 kJ/mol of atoms.



(3)
DFT (PBE-GGA) results for crystalline Mn2TcHg at its relaxed geometry.

It has space group Cm (No. 8), with a = 9.177 Å, b = 2.916 Å, c = 4.727 Å, α = 90.00°, β = 102.23° and γ = 90.00°. The asymmetric unit holds Mn at (0.000, 0.000, 0.000), Mn at (0.249, 0.000, 0.728), Tc at (0.233, 0.500, 0.174) and Hg at (0.493, 0.000, 0.492).

The formation energy is 40.9 kJ/mol of atoms.



(4)
DFT (PBE-GGA) results for crystalline Pu3Pd2Pb at its relaxed geometry.

It has space group P4/mmm (No. 123), with a = 3.411 Å, b = 3.411 Å, c = 12.253 Å, α = 90.00°, β = 90.00° and γ = 90.00°. The asymmetric unit holds Pu at (0.000, 0.000, 0.000), Pu at (0.000, 0.000, 0.305), Pd at (0.500, 0.500, 0.151) and Pb at (0.500, 0.500, 0.500).

The calculation puts the energy above the most stable polymorph in this dataset at 0.000 eV per formula unit. The formation energy is -29.1 kJ/mol of atoms.



(5)
DFT (PBE-GGA) results for crystalline PmMnRh2 at its relaxed geometry.

It has space group P4/mmm (No. 123), with a = 4.540 Å, b = 4.540 Å, c = 3.475 Å, α = 90.00°, β = 90.00° and γ = 90.00°. The asymmetric unit holds Pm at (0.000, 0.000, 0.000), Mn at (0.500, 0.500, 0.000) and Rh at (0.000, 0.500, 0.500).

The formation energy is -34.4 kJ/mol of atoms.



(6)
DFT (PBE-GGA) results for crystalline Ca2BiSe at its relaxed geometry.

It has space group R3m (No. 160, hexagonal axes), with a = 4.1447 Å, b = 4.1447 Å, c = 24.3640 Å, α = 90.00°, β = 90.00° and γ = 120.00°. The asymmetric unit holds Ca at (0.0000, 0.0000, 0.0000), Ca at (0.0000, 0.0000, 0.1890), Bi at (0.0000, 0.0000, 0.4273) and Se at (0.0000, 0.0000, 0.5956).

The calculation puts the energy above the most stable polymorph in this dataset at 0.162 eV per formula unit. The calculation puts the uncorrected formation energy at -1.286 eV per atom.



(7)
DFT (PBE-GGA) results for crystalline HgAs3Pb at its relaxed geometry.

It has space group Pm-3m (No. 221), with a = 5.231 Å, b = 5.231 Å, c = 5.231 Å, α = 90.00°, β = 90.00° and γ = 90.00°. The asymmetric unit holds Hg at (0.000, 0.000, 0.000), As at (0.000, 0.000, 0.500) and Pb at (0.500, 0.500, 0.500).

The calculation puts the energy above the most stable polymorph in this dataset at 0.000 eV per formula unit. The formation energy is 77.3 kJ/mol of atoms.



(8)
DFT (PBE-GGA) results for crystalline NaAcPt at its relaxed geometry.

It has space group P3m1 (No. 156), with a = 4.4132 Å, b = 4.4132 Å, c = 6.0664 Å, α = 90.00°, β = 90.00° and γ = 120.00°. The asymmetric unit holds Na at (0.0000, 0.0000, 0.0000), Ac at (0.6667, 0.3333, 0.5111) and Pt at (0.3333, 0.6667, 0.7511).

The calculation puts the energy above the most stable polymorph in this dataset at 0.331 eV per formula unit. The formation energy is -45.2 kJ/mol of atoms.



Please write out number 8 again, unchanged.
DFT (PBE-GGA) results for crystalline NaAcPt at its relaxed geometry.

It has space group P3m1 (No. 156), with a = 4.4132 Å, b = 4.4132 Å, c = 6.0664 Å, α = 90.00°, β = 90.00° and γ = 120.00°. The asymmetric unit holds Na at (0.0000, 0.0000, 0.0000), Ac at (0.6667, 0.3333, 0.5111) and Pt at (0.3333, 0.6667, 0.7511).

The calculation puts the energy above the most stable polymorph in this dataset at 0.331 eV per formula unit. The formation energy is -45.2 kJ/mol of atoms.